No. 1
Entry from the Open Quantum Materials Database: a relaxed structure of AlCoCuAu (PBE).

For the relative energy among the computed polymorphs, the calculation gives 0 meV per atom.

It has space group F-43m (No. 216), with a = 6.001 Å, b = 6.001 Å, c = 6.001 Å, α = 90.00°, β = 90.00° and γ = 90.00°. Symmetry generates all atoms from Al at (0.000, 0.000, 0.000), Co at (0.250, 0.250, 0.250), Cu at (0.000, 0.000, 0.500) and Au at (0.250, 0.250, 0.750).



No. 2
Entry from the Open Quantum Materials Database: a relaxed structure of AlCoH6Au (PBE).

The value obtained for the total DFT energy (no corrections) is -110.9 eV per cell.

It has space group F-43m (No. 216), with a = 6.425 Å, b = 6.425 Å, c = 6.425 Å, α = 90.00°, β = 90.00° and γ = 90.00°. Symmetry generates all atoms from Al at (0.000, 0.000, 0.000), Co at (0.250, 0.250, 0.750), H at (0.000, 0.000, 0.272) and Au at (0.250, 0.250, 0.250).



No. 3
Entry from the Open Quantum Materials Database: a relaxed structure of Ho2Al4CoAu (PBE).

The value obtained for the total DFT energy (no corrections) is -78.5 eV per cell.

It has space group Amm2 (No. 38), with a = 7.012 Å, b = 4.166 Å, c = 10.223 Å, α = 90.00°, β = 90.00° and γ = 90.00°. Symmetry generates all atoms from Ho at (0.000, 0.000, 0.000), Ho at (0.500, 0.000, 0.130), Al at (0.185, 0.000, 0.711), Al at (0.288, 0.000, 0.412), Co at (0.000, 0.000, 0.274) and Au at (0.500, 0.000, 0.847).



No. 4
Entry from the Open Quantum Materials Database: a relaxed structure of AlCoMoAu (PBE).

For the relative energy among the computed polymorphs, the calculation gives 0 meV per atom.

It has space group F-43m (No. 216), with a = 6.196 Å, b = 6.196 Å, c = 6.196 Å, α = 90.00°, β = 90.00° and γ = 90.00°. Symmetry generates all atoms from Al at (0.000, 0.000, 0.000), Co at (0.250, 0.250, 0.250), Mo at (0.000, 0.000, 0.500) and Au at (0.250, 0.250, 0.750).



No. 5
Entry from the Open Quantum Materials Database: a relaxed structure of AlCoMoAu (PBE).

For the relative energy among the computed polymorphs, the calculation gives 27 meV per atom.

It has space group F-43m (No. 216), with a = 6.159 Å, b = 6.159 Å, c = 6.159 Å, α = 90.00°, β = 90.00° and γ = 90.00°. Symmetry generates all atoms from Al at (0.000, 0.000, 0.000), Co at (0.250, 0.250, 0.250), Mo at (0.250, 0.250, 0.750) and Au at (0.000, 0.000, 0.500).



No. 6
Entry from the Open Quantum Materials Database: a relaxed structure of NbAlCoAu (PBE).

For the relative energy among the computed polymorphs, the calculation gives 154 meV per atom.

It has space group F-43m (No. 216), with a = 6.254 Å, b = 6.254 Å, c = 6.254 Å, α = 90.00°, β = 90.00° and γ = 90.00°. Symmetry generates all atoms from Nb at (0.000, 0.000, 0.000), Al at (0.250, 0.250, 0.250), Co at (0.000, 0.000, 0.500) and Au at (0.250, 0.250, 0.750).



No. 7
Entry from the Open Quantum Materials Database: a relaxed structure of NbAlCoAu (PBE).

For the relative energy among the computed polymorphs, the calculation gives 47 meV per atom.

It has space group F-43m (No. 216), with a = 6.296 Å, b = 6.296 Å, c = 6.296 Å, α = 90.00°, β = 90.00° and γ = 90.00°. Symmetry generates all atoms from Nb at (0.000, 0.000, 0.000), Al at (0.000, 0.000, 0.500), Co at (0.250, 0.250, 0.250) and Au at (0.250, 0.250, 0.750).



No. 8
Entry from the Open Quantum Materials Database: a relaxed structure of NbAlCoAu (PBE).

For the relative energy among the computed polymorphs, the calculation gives 0 meV per atom.

It has space group F-43m (No. 216), with a = 6.196 Å, b = 6.196 Å, c = 6.196 Å, α = 90.00°, β = 90.00° and γ = 90.00°. Symmetry generates all atoms from Nb at (0.000, 0.000, 0.000), Al at (0.250, 0.250, 0.750), Co at (0.250, 0.250, 0.250) and Au at (0.000, 0.000, 0.500).